This record from the Alexandria database describes CeSI at its PBEsol-relaxed geometry. The functional is meta-GGA SCAN.

Computed properties:
**M_tot**: 8.0 μB per cell
**DFT total energy**: -774.6 eV per cell
**ΔE_f (raw)**: -1.96 eV/atom

abc: 7.089 7.400 13.034
angles: 90.00 90.00 90.00
Each line ends with the local moment (μB).
Atoms (fractional coordinates):
I: 0.319 0.600 0.306  -0.01
I: 0.181 0.600 0.806  -0.01
I: 0.819 0.400 0.194  -0.01
I: 0.681 0.900 0.806  -0.01
I: 0.819 0.900 0.306  -0.01
I: 0.681 0.400 0.694  -0.01
I: 0.319 0.100 0.194  -0.01
I: 0.181 0.100 0.694  -0.01
S: 0.998 0.736 0.539  -0.03
S: 0.498 0.764 0.539  -0.03
S: 0.502 0.736 0.039  -0.03
S: 0.498 0.264 0.961  -0.03
S: 0.998 0.236 0.961  -0.03
S: 0.002 0.764 0.039  -0.03
S: 0.002 0.264 0.461  -0.03
S: 0.502 0.236 0.461  -0.03
Ce: 0.762 0.531 0.929  0.95
Ce: 0.738 0.031 0.071  0.95
Ce: 0.738 0.531 0.429  0.95
Ce: 0.262 0.469 0.571  0.95
Ce: 0.762 0.031 0.571  0.95
Ce: 0.238 0.469 0.071  0.95
Ce: 0.262 0.969 0.929  0.95
Ce: 0.238 0.969 0.429  0.95